# 1
VASP calculation (PBE) on an optimized crystal structure of Ca2InGa2Pt5.

POSCAR file:
```
Ca2InGa2Pt5
1.0
-1.2252 -2.4042 2.6728
8.5807 0.8800 4.7249
-3.6102 7.5628 5.1477
Ga Pt Ca In
4 10 4 2
Cartesian
2.7975 1.2583 2.4142
2.1730 7.1844 7.4584
6.1670 3.6275 6.0899
-1.1964 4.8152 3.7828
-2.9035 4.8433 5.7241
3.6778 -0.7621 3.6989
-2.4177 2.5793 3.9103
2.8090 6.5575 9.8845
3.8989 2.7027 6.9168
0.9363 -0.5188 2.6610
1.6878 4.6530 7.6575
2.0575 1.3856 4.8880
6.6488 1.1953 6.8214
-0.1536 3.3359 5.6287
-0.1922 6.5211 5.7776
4.6361 5.8342 7.3730
0.3344 2.6086 2.4997
5.1627 1.9217 4.0951
2.4853 4.2214 4.9363
0.0000 0.0000 0.0000
```

Summary:
E_form: -785 meV/atom
Crystal system: tetragonal

=====

# 2
VASP calculation (PBE) on an optimized crystal structure of Pm7Pr2Nd.

POSCAR file:
```
Pm7Pr2Nd
1.0
5.5533 0.0000 0.0000
0.0000 9.4505 -0.6286
0.0000 -4.8246 8.1505
Pr Pm Nd
2 7 1
Cartesian
2.7766 -0.5853 5.5433
2.7766 5.2111 1.9786
2.7766 -0.7706 2.3417
0.0000 -1.6832 6.2186
2.7766 5.3965 5.1802
2.7766 2.1884 7.1532
2.7766 2.4375 0.3687
2.7766 2.3129 3.7609
0.0000 6.3091 1.3033
0.0000 0.0000 0.0000
```

Summary:
E_form: 624 meV/atom
Crystal system: orthorhombic

=====

# 3
VASP calculation (PBE) on an optimized crystal structure of Pr3BiO3.

POSCAR file:
```
Pr3BiO3
1.0
-3.7215 0.0684 -2.6686
1.7148 -8.4412 -2.6078
-5.1507 1.5201 7.2218
O Pr Bi
6 6 2
Cartesian
-5.0457 -6.9784 0.9625
-3.4579 -1.6516 -1.1153
-2.1116 0.1257 0.9829
-1.5907 -6.5784 -3.8454
-3.6994 -5.2011 3.0607
-5.5666 -0.2743 5.7908
0.0230 -6.0981 -2.1535
-5.4194 -4.5333 1.5463
-7.1804 -0.7545 4.0989
-1.7379 -2.3193 0.3991
-4.3601 0.0409 0.1862
-2.7973 -6.8935 1.7592
-3.7925 -1.7832 3.2781
-3.3648 -5.0694 -1.3327
```

Summary:
ΔE_f (raw): -2.50 eV per atom
Crystal system: hexagonal

=====

# 4
VASP calculation (PBE) on an optimized crystal structure of Y3SiIr.

POSCAR file:
```
Y3SiIr
1.0
5.3008 0.0000 0.0000
0.0000 5.3008 0.0000
0.0000 0.0000 5.3008
Y Ir Si
3 1 1
Cartesian
2.6504 0.0000 0.0000
0.0000 0.0000 2.6504
0.0000 2.6504 0.0000
0.0000 0.0000 0.0000
2.6504 2.6504 2.6504
```

Summary:
ΔE_f (raw): -0.16 eV per atom
Crystal system: cubic

=====

# 5
VASP calculation (PBE) on an optimized crystal structure of LaSm6Te8.

POSCAR file:
```
LaSm6Te8
1.0
7.6853 0.0000 4.4371
2.5618 7.2458 4.4371
0.0000 0.0000 8.8742
Te Sm La
8 6 1
Cartesian
7.6853 5.4343 13.3114
7.5794 5.3595 8.8742
3.8956 5.3595 11.0011
6.3515 1.8863 6.7474
6.3515 1.8863 11.0011
2.6677 1.8863 8.8742
2.5618 1.8114 4.4371
3.8956 5.3595 6.7474
3.8427 0.0000 2.2186
1.2809 3.6229 2.2186
3.8427 0.0000 6.6557
5.1235 3.6229 4.4371
0.0000 0.0000 4.4371
1.2809 3.6229 6.6557
0.0000 0.0000 0.0000
```

Summary:
ΔE_f (raw): -1.45 eV per atom
Crystal system: cubic

=====

# 6
VASP calculation (PBE) on an optimized crystal structure of AlSeIN2.

POSCAR file:
```
AlSeIN2
1.0
-1.8889 -2.5122 -2.3463
2.4752 -2.8517 1.0606
-4.5298 -1.8419 5.6189
Se Al N I
1 1 2 1
Cartesian
-2.2649 -0.9210 2.8094
-1.9717 -3.6029 2.1666
-0.9444 -1.2561 -1.1731
1.2376 -1.4258 0.5303
0.0000 0.0000 0.0000
```

Summary:
ΔE_f (raw): 1.61 eV per atom
Crystal system: tetragonal